[1]
A plane-wave DFT calculation with SCAN was carried out for a crystal of P4SO6 relaxed with PBEsol.

Structure (CIF):
```
data_P4SO6
_chemical_formula_sum 'P16 S4 O24'
_cell_length_a 8.3873
_cell_length_b 9.3036
_cell_length_c 9.3125
_cell_angle_alpha 90.00
_cell_angle_beta 92.79
_cell_angle_gamma 90.00
_symmetry_space_group_name_H-M 'P 1 21/c 1'
_symmetry_Int_Tables_number 14
loop_
_symmetry_equiv_pos_as_xyz
'x,y,z'
'-x,-y,-z'
'-x,y+1/2,-z+1/2'
'x,-y+1/2,z+1/2'
loop_
_atom_site_label
_atom_site_fract_x
_atom_site_fract_y
_atom_site_fract_z
P1 0.0309 0.0512 0.2358
P2 0.2929 0.6022 0.6115
P3 0.3092 0.2135 0.1590
P4 0.3262 0.0156 0.4085
S1 0.1946 0.5601 0.2562
O1 0.0974 0.5737 0.6360
O2 0.1116 0.1940 0.1750
O3 0.1262 0.0265 0.3874
O4 0.3452 0.0643 0.0708
O5 0.3590 0.6042 0.7828
O6 0.3722 0.1660 0.3236
```

Output
Magnetization: 0.00 μB per cell
Total DFT energy (no corrections): -9.65 eV per atom
ΔE_f (raw): -1.60 eV per atom



[2]
A plane-wave DFT calculation with SCAN was carried out for a crystal of P4SO7 relaxed with PBEsol.

Structure (CIF):
```
data_P4SO7
_chemical_formula_sum 'P8 S2 O14'
_cell_length_a 6.8227
_cell_length_b 7.1529
_cell_length_c 8.4923
_cell_angle_alpha 94.59
_cell_angle_beta 105.60
_cell_angle_gamma 96.79
_symmetry_space_group_name_H-M 'P -1'
_symmetry_Int_Tables_number 2
loop_
_symmetry_equiv_pos_as_xyz
'x,y,z'
'-x,-y,-z'
loop_
_atom_site_label
_atom_site_fract_x
_atom_site_fract_y
_atom_site_fract_z
P1 0.1294 0.2897 0.2723
P2 0.2057 0.0191 0.8652
P3 0.2371 0.7527 0.6104
P4 0.2747 0.6390 0.9388
S1 0.3366 0.7263 0.4244
O1 0.0069 0.2998 0.4204
O2 0.0219 0.6029 0.8645
O3 0.0328 0.0612 0.1923
O4 0.2578 0.2193 0.9314
O5 0.2797 0.9689 0.7036
O6 0.3053 0.8766 0.9872
O7 0.3342 0.6362 0.7593
```

Output
Magnetization: 0.00 μB per cell
Total DFT energy (no corrections): -9.66 eV per atom
ΔE_f (raw): -1.76 eV per atom



[3]
A plane-wave DFT calculation with SCAN was carried out for a crystal of P2SO3 relaxed with PBEsol.

Structure (CIF):
```
data_P2SO3
_chemical_formula_sum 'P16 S8 O24'
_cell_length_a 11.3008
_cell_length_b 6.5028
_cell_length_c 11.4784
_cell_angle_alpha 90.00
_cell_angle_beta 91.06
_cell_angle_gamma 90.00
_symmetry_space_group_name_H-M 'P 1 21/c 1'
_symmetry_Int_Tables_number 14
loop_
_symmetry_equiv_pos_as_xyz
'x,y,z'
'-x,-y,-z'
'-x,y+1/2,-z+1/2'
'x,-y+1/2,z+1/2'
loop_
_atom_site_label
_atom_site_fract_x
_atom_site_fract_y
_atom_site_fract_z
P1 0.1310 0.2312 0.0700
P2 0.2042 0.0060 0.8637
P3 0.3261 0.5466 0.5886
P4 0.3555 0.1595 0.4647
S1 0.0021 0.1633 0.6539
S2 0.4040 0.7357 0.6894
O1 0.1025 0.1152 0.9499
O2 0.2083 0.0587 0.1418
O3 0.2304 0.1047 0.5361
O4 0.2771 0.6343 0.4666
O5 0.2977 0.2021 0.8580
O6 0.4038 0.1495 0.0526
```

Output
Magnetization: 0.00 μB per cell
Total DFT energy (no corrections): -9.72 eV per atom
ΔE_f (raw): -1.53 eV per atom



[4]
A plane-wave DFT calculation with SCAN was carried out for a crystal of ScP2SO relaxed with PBEsol.

Structure (CIF):
```
data_ScP2SO
_chemical_formula_sum 'Sc1 P2 S1 O1'
_cell_length_a 5.0294
_cell_length_b 5.0294
_cell_length_c 3.7884
_cell_angle_alpha 90.00
_cell_angle_beta 90.00
_cell_angle_gamma 90.00
_symmetry_space_group_name_H-M 'P 4/m m m'
_symmetry_Int_Tables_number 123
_symmetry_space_group_name_Hall '-P 4 2'
loop_
_atom_site_label
_atom_site_fract_x
_atom_site_fract_y
_atom_site_fract_z
Sc1 0.0000 0.0000 0.0000
P1 0.0000 0.5000 0.0000
S1 0.5000 0.5000 0.5000
O1 0.0000 0.0000 0.5000
```

Output
Magnetization: 0.00 μB per cell
Total DFT energy (no corrections): -10.18 eV per atom
ΔE_f (raw): 0.00 eV per atom



[5]
A plane-wave DFT calculation with SCAN was carried out for a crystal of SiPS2O relaxed with PBEsol.

Structure (CIF):
```
data_SiPS2O
_chemical_formula_sum 'Si1 P1 S2 O1'
_cell_length_a 4.2919
_cell_length_b 4.2919
_cell_length_c 3.9512
_cell_angle_alpha 90.00
_cell_angle_beta 90.00
_cell_angle_gamma 90.00
_symmetry_space_group_name_H-M 'P 4/m m m'
_symmetry_Int_Tables_number 123
_symmetry_space_group_name_Hall '-P 4 2'
loop_
_atom_site_label
_atom_site_fract_x
_atom_site_fract_y
_atom_site_fract_z
Si1 0.0000 0.0000 0.0000
P1 0.5000 0.5000 0.0000
S1 0.0000 0.5000 0.5000
O1 0.5000 0.5000 0.5000
```

Output
Magnetization: 0.00 μB per cell
Total DFT energy (no corrections): -8.26 eV per atom
ΔE_f (raw): 0.92 eV per atom



[6]
A plane-wave DFT calculation with SCAN was carried out for a crystal of SrPSO2 relaxed with PBEsol.

Structure (CIF):
```
data_SrPSO2
_chemical_formula_sum 'Sr1 P1 S1 O2'
_cell_length_a 4.2299
_cell_length_b 4.2299
_cell_length_c 7.4507
_cell_angle_alpha 90.00
_cell_angle_beta 90.00
_cell_angle_gamma 90.00
_symmetry_space_group_name_H-M 'P 4/m m m'
_symmetry_Int_Tables_number 123
_symmetry_space_group_name_Hall '-P 4 2'
loop_
_atom_site_label
_atom_site_fract_x
_atom_site_fract_y
_atom_site_fract_z
Sr1 0.0000 0.0000 0.0000
P1 0.0000 0.0000 0.5000
S1 0.5000 0.5000 0.5000
O1 0.0000 0.5000 0.0000
```

Output
Magnetization: 3.27 μB per cell
Total DFT energy (no corrections): -10.56 eV per atom
ΔE_f (raw): 0.39 eV per atom



[7]
A plane-wave DFT calculation with SCAN was carried out for a crystal of Sr10P6SO24 relaxed with PBEsol.

Structure (CIF):
```
data_Sr10P6SO24
_chemical_formula_sum 'Sr10 P6 S1 O24'
_cell_length_a 9.7828
_cell_length_b 9.7828
_cell_length_c 7.1888
_cell_angle_alpha 90.00
_cell_angle_beta 90.00
_cell_angle_gamma 120.00
_symmetry_space_group_name_H-M 'P -3'
_symmetry_Int_Tables_number 147
loop_
_symmetry_equiv_pos_as_xyz
'x,y,z'
'-x,-y,-z'
'-y,x-y,z'
'y,-x+y,-z'
'-x+y,-x,z'
'x-y,x,-z'
loop_
_atom_site_label
_atom_site_fract_x
_atom_site_fract_y
_atom_site_fract_z
Sr1 0.0129 0.7557 0.2413
Sr2 0.3333 0.6667 0.4785
Sr3 0.3333 0.6667 0.9802
P1 0.0297 0.6312 0.7470
S1 0.0000 0.0000 0.0000
O1 0.0660 0.7560 0.5929
O2 0.1012 0.7204 0.9316
O3 0.1137 0.5350 0.7057
O4 0.1515 0.4799 0.2384
```

Output
Magnetization: 0.13 μB per cell
Total DFT energy (no corrections): -14.02 eV per atom
ΔE_f (raw): -3.18 eV per atom



[8]
A plane-wave DFT calculation with SCAN was carried out for a crystal of TaP2SO relaxed with PBEsol.

Structure (CIF):
```
data_TaP2SO
_chemical_formula_sum 'Ta1 P2 S1 O1'
_cell_length_a 4.8778
_cell_length_b 4.8778
_cell_length_c 3.8048
_cell_angle_alpha 90.00
_cell_angle_beta 90.00
_cell_angle_gamma 90.00
_symmetry_space_group_name_H-M 'P 4/m m m'
_symmetry_Int_Tables_number 123
_symmetry_space_group_name_Hall '-P 4 2'
loop_
_atom_site_label
_atom_site_fract_x
_atom_site_fract_y
_atom_site_fract_z
Ta1 0.0000 0.0000 0.0000
P1 0.0000 0.5000 0.0000
S1 0.5000 0.5000 0.5000
O1 0.0000 0.0000 0.5000
```

Output
Magnetization: 0.00 μB per cell
Total DFT energy (no corrections): -20.83 eV per atom
ΔE_f (raw): -0.18 eV per atom



[9]
A plane-wave DFT calculation with SCAN was carried out for a crystal of TcPS2O relaxed with PBEsol.

Structure (CIF):
```
data_TcPS2O
_chemical_formula_sum 'Tc1 P1 S2 O1'
_cell_length_a 4.4085
_cell_length_b 4.4085
_cell_length_c 4.6657
_cell_angle_alpha 90.00
_cell_angle_beta 90.00
_cell_angle_gamma 90.00
_symmetry_space_group_name_H-M 'P 4/m m m'
_symmetry_Int_Tables_number 123
_symmetry_space_group_name_Hall '-P 4 2'
loop_
_atom_site_label
_atom_site_fract_x
_atom_site_fract_y
_atom_site_fract_z
Tc1 0.0000 0.0000 0.0000
P1 0.0000 0.0000 0.5000
S1 0.0000 0.5000 0.0000
O1 0.5000 0.5000 0.5000
```

Output
Magnetization: 1.15 μB per cell
Total DFT energy (no corrections): -13.41 eV per atom
ΔE_f (raw): 0.78 eV per atom



[10]
A plane-wave DFT calculation with SCAN was carried out for a crystal of TeP2SO relaxed with PBEsol.

Structure (CIF):
```
data_TeP2SO
_chemical_formula_sum 'Te1 P2 S1 O1'
_cell_length_a 3.8395
_cell_length_b 3.8395
_cell_length_c 6.0537
_cell_angle_alpha 90.00
_cell_angle_beta 90.00
_cell_angle_gamma 90.00
_symmetry_space_group_name_H-M 'P 4/m m m'
_symmetry_Int_Tables_number 123
_symmetry_space_group_name_Hall '-P 4 2'
loop_
_atom_site_label
_atom_site_fract_x
_atom_site_fract_y
_atom_site_fract_z
Te1 0.0000 0.0000 0.0000
P1 0.0000 0.5000 0.5000
S1 0.5000 0.5000 0.0000
O1 0.5000 0.5000 0.5000
```

Output
Magnetization: 0.00 μB per cell
Total DFT energy (no corrections): -14.23 eV per atom
ΔE_f (raw): 0.55 eV per atom
Excess energy over the best structure of this formula in the dataset: 0.000 eV/atom



[11]
A plane-wave DFT calculation with SCAN was carried out for a crystal of TeP2SO relaxed with PBEsol.

Structure (CIF):
```
data_TeP2SO
_chemical_formula_sum 'Te1 P2 S1 O1'
_cell_length_a 5.0995
_cell_length_b 5.0995
_cell_length_c 4.9641
_cell_angle_alpha 90.00
_cell_angle_beta 90.00
_cell_angle_gamma 90.00
_symmetry_space_group_name_H-M 'P 4/m m m'
_symmetry_Int_Tables_number 123
_symmetry_space_group_name_Hall '-P 4 2'
loop_
_atom_site_label
_atom_site_fract_x
_atom_site_fract_y
_atom_site_fract_z
Te1 0.0000 0.0000 0.0000
P1 0.0000 0.5000 0.0000
S1 0.0000 0.0000 0.5000
O1 0.5000 0.5000 0.5000
```

Output
Magnetization: 4.27 μB per cell
Total DFT energy (no corrections): -13.16 eV per atom
ΔE_f (raw): 1.62 eV per atom
Excess energy over the best structure of this formula in the dataset: 1.077 eV/atom



[12]
A plane-wave DFT calculation with SCAN was carried out for a crystal of P2WSO relaxed with PBEsol.

Structure (CIF):
```
data_P2WSO
_chemical_formula_sum 'P2 W1 S1 O1'
_cell_length_a 4.7461
_cell_length_b 4.7461
_cell_length_c 3.7394
_cell_angle_alpha 90.00
_cell_angle_beta 90.00
_cell_angle_gamma 90.00
_symmetry_space_group_name_H-M 'P 4/m m m'
_symmetry_Int_Tables_number 123
_symmetry_space_group_name_Hall '-P 4 2'
loop_
_atom_site_label
_atom_site_fract_x
_atom_site_fract_y
_atom_site_fract_z
P1 0.0000 0.5000 0.0000
W1 0.0000 0.0000 0.0000
S1 0.5000 0.5000 0.5000
O1 0.0000 0.0000 0.5000
```

Output
Magnetization: 0.00 μB per cell
Total DFT energy (no corrections): -21.26 eV per atom
ΔE_f (raw): 0.01 eV per atom